1.
# PBE ZrInSe2, relaxed
data_ZrInSe2
_space_group_name_H-M_alt 'C m c m'
_space_group_IT_number 63
_space_group_name_Hall '-C 2c 2'
_cell_length_a 3.552
_cell_length_b 28.977
_cell_length_c 4.007
_cell_angle_alpha 90.00
_cell_angle_beta 90.00
_cell_angle_gamma 90.00
loop_
_atom_site_label
_atom_site_type_symbol
_atom_site_fract_x
_atom_site_fract_y
_atom_site_fract_z
Zr1 Zr 0.000 0.184 0.250
In1 In 0.000 0.457 0.250
Se1 Se 0.000 0.286 0.250
Se2 Se 0.000 0.385 0.750
# Energy relative to the elements, uncorrected = -872 meV/atom
# ρ = 5.9 g/cm3

---

2.
# PBE KSr2Mo, relaxed
data_KSr2Mo
_space_group_name_H-M_alt 'P 4/m m m'
_space_group_IT_number 123
_space_group_name_Hall '-P 4 2'
_cell_length_a 5.878
_cell_length_b 5.878
_cell_length_c 4.695
_cell_angle_alpha 90.00
_cell_angle_beta 90.00
_cell_angle_gamma 90.00
loop_
_atom_site_label
_atom_site_type_symbol
_atom_site_fract_x
_atom_site_fract_y
_atom_site_fract_z
K1 K 0.000 0.000 0.000
Sr1 Sr 0.000 0.500 0.500
Mo1 Mo 0.500 0.500 0.000
# Distance to the lowest polymorph of the same formula = 253.8 meV/atom
# Energy of formation = 1.01 eV per atom
# ρ = 3.2 g/cm3

---

3.
# PBE Nd2YPaSe4, relaxed
data_Nd2YPaSe4
_space_group_name_H-M_alt 'P 1 2/m 1'
_space_group_IT_number 10
_cell_length_a 7.204
_cell_length_b 4.119
_cell_length_c 7.221
_cell_angle_alpha 90.00
_cell_angle_beta 108.99
_cell_angle_gamma 90.00
loop_
_space_group_symop_operation_xyz
'x,y,z'
'-x,-y,-z'
'-x,y,-z'
'x,-y,z'
loop_
_atom_site_label
_atom_site_type_symbol
_atom_site_fract_x
_atom_site_fract_y
_atom_site_fract_z
Nd1 Nd 0.000 0.000 0.000
Nd2 Nd 0.000 0.500 0.500
Y1 Y 0.500 0.000 0.500
Pa1 Pa 0.500 0.500 0.000
Se1 Se 0.261 0.000 0.752
Se2 Se 0.262 0.500 0.255
# Energy relative to the elements, uncorrected = -1645 meV/atom
# ρ = 7.6 g/cm3

---

4.
# PBE TaCrRe2, relaxed
data_TaCrRe2
_space_group_name_H-M_alt 'P 4/m m m'
_space_group_IT_number 123
_space_group_name_Hall '-P 4 2'
_cell_length_a 3.101
_cell_length_b 3.101
_cell_length_c 6.230
_cell_angle_alpha 90.00
_cell_angle_beta 90.00
_cell_angle_gamma 90.00
loop_
_atom_site_label
_atom_site_type_symbol
_atom_site_fract_x
_atom_site_fract_y
_atom_site_fract_z
Ta1 Ta 0.000 0.000 0.000
Cr1 Cr 0.000 0.000 0.500
Re1 Re 0.500 0.500 0.264
# Energy of formation = -0.09 eV per atom
# ρ = 16.8 g/cm3

---

- The highest ρ belongs to which entry?
  TaCrRe2

---

- Number 3 is which compound?
  Nd2YPaSe4

---

- What is the ρ in the second record?
  3.2 g/cm3

---

- Which of these has the highest ρ?
  TaCrRe2